# HWO3

A relaxed structure of HWO3 (PBE+U, the Alexandria database).

The structure in POSCAR format:
```
HWO3
1.0
5.296 0.000 0.000
2.648 4.586 0.000
2.636 -1.507 6.855
H W O
2 2 6
Direct
0.202 0.149 0.447
0.798 0.851 0.553
0.188 0.656 0.968
0.812 0.344 0.032
0.002 0.452 0.160
0.207 0.954 0.840
0.387 0.660 0.160
0.613 0.340 0.840
0.793 0.046 0.160
0.998 0.548 0.840
```

Results
Space group: No. 2
Calculated volume, Å³/f.u.: 83.24
DFT total energy, eV/atom: -6.088